(1)
A plane-wave DFT calculation with PBE was carried out for an optimized crystal structure of PmDy3Tl.

Distance to the lowest polymorph of the same formula, meV/atom: 481.6
Symmetry: No. 166

Unit cell a=6.131 b=6.131 c=6.131 alpha=108.75 beta=108.75 gamma=108.75
Positions (direct):
1 Pm 0.000 0.000 0.000
2 Dy 0.000 0.500 0.500
3 Dy 0.500 0.000 0.500
4 Dy 0.500 0.500 0.000
5 Tl 0.500 0.500 0.500



(2)
A plane-wave DFT calculation with PBE was carried out for an optimized crystal structure of Pm2Dy2Tl.

Distance to the lowest polymorph of the same formula, meV/atom: 52.3
Symmetry: No. 194

Unit cell a=5.482 b=5.482 c=12.240 alpha=90.00 beta=90.00 gamma=120.00
Positions (direct):
1 Pm 0.333 0.667 0.086
2 Pm 0.333 0.667 0.414
3 Pm 0.667 0.333 0.586
4 Pm 0.667 0.333 0.914
5 Dy 0.000 0.000 0.000
6 Dy 0.000 0.000 0.500
7 Dy 0.333 0.667 0.750
8 Dy 0.667 0.333 0.250
9 Tl 0.000 0.000 0.250
10 Tl 0.000 0.000 0.750



(3)
A plane-wave DFT calculation with PBE was carried out for an optimized crystal structure of Pm7Dy3Tl.

Symmetry: No. 156

Unit cell a=7.080 b=7.080 c=8.614 alpha=90.00 beta=90.00 gamma=120.00
Positions (direct):
1 Pm 0.000 0.000 0.000
2 Pm 0.164 0.328 0.661
3 Pm 0.164 0.836 0.661
4 Pm 0.502 0.004 0.992
5 Pm 0.502 0.498 0.992
6 Pm 0.672 0.836 0.661
7 Pm 0.996 0.498 0.992
8 Dy 0.332 0.166 0.329
9 Dy 0.834 0.166 0.329
10 Dy 0.834 0.668 0.329
11 Tl 0.667 0.333 0.652



Number 1: ΔH_f (0 K) 40.13 kJ/mol of atoms, V 182.0 Å³/f.u., calculated total energy -3.7687 eV/atom. Number 2: ΔH_f (0 K) 0.05 kJ/mol of atoms, V 159.3 Å³/f.u., calculated total energy -4.2138 eV/atom. Number 3: ΔH_f (0 K) 12.67 kJ/mol of atoms, V 374.0 Å³/f.u., calculated total energy -4.3620 eV/atom.